Record 1
Ac5In3Ir3 | PBE | relaxed

CIF file:
```
data_Ac5In3Ir3
_cell_length_a 9.3518
_cell_length_b 9.3518
_cell_length_c 5.2167
_cell_angle_alpha 90.00
_cell_angle_beta 90.00
_cell_angle_gamma 120.00
_space_group_name_H-M_alt 'P -6 2 m'
_space_group_IT_number 189
_space_group_name_Hall 'P -6 -2'
loop_
_atom_site_label
_atom_site_type_symbol
_atom_site_fract_x
_atom_site_fract_y
_atom_site_fract_z
Ac1 Ac 0.0000 0.2365 0.0000
Ac2 Ac 0.3333 0.6667 0.0000
In1 In 0.0000 0.6369 0.5000
Ir1 Ir 0.0000 0.6253 0.0000
```

Summary:
- E_tot (hartree per atom) = -0.19759
- total magnetic moment (μB per cell) = 0.00
- volume (Å³/cell) = 395.1
- formation energy (eV/atom) = -0.346

=====

Record 2
AgSnBr2 | PBE | relaxed

CIF file:
```
data_AgSnBr2
_cell_length_a 7.471
_cell_length_b 7.471
_cell_length_c 7.471
_cell_angle_alpha 90.00
_cell_angle_beta 90.00
_cell_angle_gamma 90.00
_space_group_name_H-M_alt 'F m -3 m'
_space_group_IT_number 225
_space_group_name_Hall '-F 4 2 3'
loop_
_atom_site_label
_atom_site_type_symbol
_atom_site_fract_x
_atom_site_fract_y
_atom_site_fract_z
Ag1 Ag 0.000 0.000 0.000
Sn1 Sn 0.000 0.000 0.500
Br1 Br 0.250 0.250 0.250
```

Summary:
- uncorrected formation energy (eV per atom) = -0.1311
- E_tot (hartree per atom) = -0.09853
- total magnetic moment (μB per cell) = 0.00
- volume (Å³/cell) = 417.0

=====

- What is the formula in the second record?
  AgSnBr2